[1]
The following is a PBEsol calculation of a geometry-optimized Na3Cr2P3O12 structure, from Alexandria via LeMat-Bulk.

Values from the calculation:
M_tot, μB per cell: 12.000
Crystal system: monoclinic
SG: C2/c
Raw formation energy, eV/atom: -2.178

POSCAR file:
```
Na3Cr2P3O12
1.0
7.4896 -4.3410 0.0000
7.4896 4.3410 0.0000
-5.0768 0.0000 7.1301
Na Cr P O
6 4 6 24
direct
0.0000 0.5000 0.0000
0.1082 0.2494 0.2421
0.2494 0.1082 0.7421
0.5000 0.0000 0.5000
0.7506 0.8918 0.2579
0.8918 0.7506 0.7579
0.1460 0.6411 0.4377
0.3589 0.8540 0.0623
0.6411 0.1460 0.9377
0.8540 0.3589 0.5623
0.0419 0.9581 0.2500
0.2538 0.4544 0.7415
0.4544 0.2538 0.2415
0.5456 0.7462 0.7585
0.7462 0.5456 0.2585
0.9581 0.0419 0.7500
0.0208 0.1368 0.4252
0.0636 0.7821 0.2725
0.0852 0.4348 0.7456
0.1368 0.0208 0.9252
0.2053 0.4650 0.5511
0.2179 0.9364 0.2275
0.2717 0.4229 0.2584
0.2793 0.6368 0.9018
0.3632 0.7207 0.5982
0.4229 0.2717 0.7584
0.4348 0.0852 0.2456
0.4650 0.2053 0.0511
0.5350 0.7947 0.9489
0.5652 0.9148 0.7544
0.5771 0.7283 0.2416
0.6368 0.2793 0.4018
0.7207 0.3632 0.0982
0.7283 0.5771 0.7416
0.7821 0.0636 0.7725
0.7947 0.5350 0.4489
0.8632 0.9792 0.0748
0.9148 0.5652 0.2544
0.9364 0.2179 0.7275
0.9792 0.8632 0.5748
```


[2]
The following is a PBEsol calculation of a geometry-optimized Na4UCr3O14 structure, from Alexandria via LeMat-Bulk.

Values from the calculation:
M_tot, μB per cell: 0.000
Crystal system: triclinic
DOS at the Fermi energy, states/eV per cell: 0.000
SG: P-1
Raw formation energy, eV/atom: -2.094

POSCAR file:
```
Na4UCr3O14
1.0
7.1612 0.0000 0.0000
3.0803 7.9398 0.0000
2.2878 1.1125 11.2401
Na U Cr O
8 2 6 28
direct
0.0417 0.4129 0.1771
0.2217 0.9615 0.7156
0.2654 0.7189 0.0166
0.3500 0.3395 0.5476
0.6500 0.6605 0.4524
0.7346 0.2811 0.9834
0.7783 0.0385 0.2844
0.9583 0.5871 0.8229
0.3159 0.8865 0.2641
0.6841 0.1135 0.7359
0.0263 0.7644 0.5417
0.2514 0.1595 0.9776
0.4778 0.5758 0.7622
0.5222 0.4242 0.2378
0.7486 0.8405 0.0224
0.9737 0.2356 0.4583
0.0491 0.0965 0.3554
0.0599 0.5757 0.6098
0.0647 0.3315 0.9489
0.1249 0.8340 0.2098
0.1428 0.1862 0.5446
0.2267 0.0029 0.9270
0.2441 0.7712 0.4603
0.2449 0.6713 0.8251
0.2463 0.1270 0.1255
0.3683 0.4632 0.1408
0.4669 0.2976 0.3494
0.4711 0.1856 0.9131
0.4863 0.0709 0.6810
0.4938 0.3944 0.7119
0.5062 0.6056 0.2881
0.5137 0.9291 0.3190
0.5289 0.8144 0.0869
0.5331 0.7024 0.6506
0.6317 0.5368 0.8592
0.7537 0.8730 0.8745
0.7551 0.3287 0.1749
0.7559 0.2288 0.5397
0.7733 0.9971 0.0730
0.8572 0.8138 0.4554
0.8751 0.1660 0.7902
0.9353 0.6685 0.0511
0.9401 0.4243 0.3902
0.9509 0.9035 0.6446
```


[3]
The following is a PBEsol calculation of a geometry-optimized NaCrOs3 structure, from Alexandria via LeMat-Bulk.

Values from the calculation:
M_tot, μB per cell: 0.648
Crystal system: cubic
DOS at the Fermi energy, states/eV per cell: 6.250
SG: Pm-3m
VASP energy, Ry per atom: -0.583

POSCAR file:
```
NaCrOs3
1.0
4.4489 0.0000 0.0000
0.0000 4.4489 0.0000
0.0000 0.0000 4.4489
Na Cr Os
1 1 3
direct
0.0000 0.0000 0.0000
0.5000 0.5000 0.5000
0.0000 0.5000 0.5000
0.5000 0.0000 0.5000
0.5000 0.5000 0.0000
```


[4]
The following is a PBEsol calculation of a geometry-optimized NaCrP2S6 structure, from Alexandria via LeMat-Bulk.

Values from the calculation:
M_tot, μB per cell: 12.000
Energy relative to the lowest polymorph listed for this composition, eV/atom: 0.0036
Crystal system: monoclinic
SG: P2_1/c
Raw formation energy, eV/atom: -0.552

POSCAR file:
```
NaCrP2S6
1.0
7.2316 0.0000 0.0000
0.0000 5.8650 0.0000
-7.1158 0.0000 20.8387
Na Cr P S
4 4 8 24
direct
0.1859 0.0483 0.2256
0.1859 0.4517 0.7256
0.8141 0.5483 0.2744
0.8141 0.9517 0.7744
0.4384 0.7491 0.9581
0.4384 0.7509 0.4581
0.5616 0.2491 0.5419
0.5616 0.2509 0.0419
0.1815 0.2439 0.8875
0.1815 0.2561 0.3875
0.4643 0.2451 0.3705
0.4643 0.2549 0.8705
0.5357 0.7451 0.1295
0.5357 0.7549 0.6295
0.8185 0.7439 0.6125
0.8185 0.7561 0.1125
0.0301 0.6077 0.1815
0.0301 0.8923 0.6815
0.1314 0.5920 0.3978
0.1314 0.9080 0.8978
0.2639 0.0767 0.4759
0.2639 0.4233 0.9759
0.3677 0.5769 0.5467
0.3677 0.9231 0.0467
0.4477 0.0953 0.7903
0.4477 0.4047 0.2903
0.4794 0.0938 0.6292
0.4794 0.4062 0.1292
0.5206 0.5938 0.8708
0.5206 0.9062 0.3708
0.5523 0.5953 0.7097
0.5523 0.9047 0.2097
0.6323 0.0769 0.9533
0.6323 0.4231 0.4533
0.7361 0.5767 0.0241
0.7361 0.9233 0.5241
0.8686 0.0920 0.1022
0.8686 0.4080 0.6022
0.9699 0.1077 0.3185
0.9699 0.3923 0.8185
```